[1]
Sm2HoAl | GGA-PBE | optimized geometry

The calculation puts the distance to the lowest polymorph of the same formula at 0 meV/atom.

It has space group P4/mmm (No. 123), with a = 4.808 Å, b = 4.808 Å, c = 4.826 Å, α = 90.00°, β = 90.00° and γ = 90.00°. The inequivalent atoms are Sm at (0.000, 0.500, 0.000), Ho at (0.000, 0.000, 0.500) and Al at (0.500, 0.500, 0.500).

[2]
Sm7Ho12Al | GGA-PBE | optimized geometry

Its energy is -0.337 Ry per atom.

It has space group P-1 (No. 2), with a = 6.125 Å, b = 9.311 Å, c = 11.701 Å, α = 106.41°, β = 99.85° and γ = 96.53°. The inequivalent atoms are Sm at (0.000, 0.000, 0.000), Sm at (0.299, 0.199, 0.304), Sm at (0.345, 0.400, 0.851), Sm at (0.402, 0.612, 0.403), Ho at (0.045, 0.191, 0.548), Ho at (0.101, 0.402, 0.100), Ho at (0.146, 0.594, 0.649), Ho at (0.202, 0.806, 0.206), Ho at (0.260, 0.998, 0.746), Ho at (0.449, 0.802, 0.951) and Al at (0.500, 0.000, 0.500).

[3]
Sm4Ho5Al | GGA-PBE | optimized geometry

The calculation puts the distance to the lowest polymorph of the same formula at 0 meV/atom.

It has space group P4/mmm (No. 123), with a = 3.562 Å, b = 3.562 Å, c = 24.133 Å, α = 90.00°, β = 90.00° and γ = 90.00°. The inequivalent atoms are Sm at (0.000, 0.000, 0.105), Sm at (0.000, 0.000, 0.316), Ho at (0.500, 0.500, 0.000), Ho at (0.500, 0.500, 0.211), Ho at (0.500, 0.500, 0.423) and Al at (0.000, 0.000, 0.500).

[4]
SmHo4Al2 | GGA-PBE | optimized geometry

The calculation puts the distance to the lowest polymorph of the same formula at 0 meV/atom.

It has space group R-3m (No. 166, hexagonal axes), with a = 5.2850 Å, b = 5.2850 Å, c = 23.3762 Å, α = 90.00°, β = 90.00° and γ = 120.00°. The inequivalent atoms are Sm at (0.0000, 0.0000, 0.0000), Ho at (0.0000, 0.0000, 0.1537), Ho at (0.0000, 0.0000, 0.4194) and Al at (0.0000, 0.0000, 0.2820).

[5]
SmHo2Al | GGA-PBE | optimized geometry

The calculation puts the distance to the lowest polymorph of the same formula at 3 meV/atom.

It has space group Amm2 (No. 38), with a = 5.297 Å, b = 6.878 Å, c = 11.895 Å, α = 90.00°, β = 90.00° and γ = 90.00°. The inequivalent atoms are Sm at (0.000, 0.236, 0.000), Ho at (0.000, 0.000, 0.763), Ho at (0.500, 0.000, 0.413), Ho at (0.500, 0.237, 0.177), Al at (0.000, 0.000, 0.255) and Al at (0.500, 0.000, 0.918).

[6]
SmHoAl2 | GGA-PBE | optimized geometry

The calculation puts the distance to the lowest polymorph of the same formula at 0 meV/atom.

It has space group P4/mmm (No. 123), with a = 3.630 Å, b = 3.630 Å, c = 7.248 Å, α = 90.00°, β = 90.00° and γ = 90.00°. The inequivalent atoms are Sm at (0.000, 0.000, 0.000), Ho at (0.000, 0.000, 0.500) and Al at (0.500, 0.500, 0.261).